MnPPtO2 | the Alexandria database | PBE with a Hubbard U | optimized geometry; crystal system = tetragonal; energy relative to the lowest polymorph listed for this composition = 0.000 eV per atom; space group = P4/mmm (123); D(E_F) = 5.71 states/eV per cell
1.0
-1.768 -2.362 1.984
-1.454 -1.378 -2.937
4.937 -4.122 -0.510
Mn O Pt P
1 2 1 1
direct
0.000 0.000 0.000
0.500 0.000 0.000
0.000 0.500 0.000
0.500 0.500 0.500
0.000 0.000 0.500